A plane-wave DFT calculation with PBE-GGA was carried out for an optimized crystal structure of NbZn2Mo.

Values from the calculation:
Distance to the lowest polymorph of the same formula, eV per formula unit: 6.46
Energy relative to the elements, meV/atom: 1849
Uncorrected energy, eV per atom: -4.01
M_tot, μB/atom: 0.00

Cell: 6.9255 6.9255 6.9255 Å, 131.43 131.43 71.13°
With the nearest neighbours (Å) after each atom.
Fractional coordinates of all 8 atoms:
1 Nb 0.0000 0.0000 0.0000  4 Zn 2.50
2 Nb 0.7500 0.2500 0.5000  4 Zn 2.50
3 Zn 0.1388 0.6250 0.0138  2 Mo 2.41, 2 Nb 2.50
4 Zn 0.3750 0.3888 0.5138  2 Mo 2.41, 2 Nb 2.50
5 Zn 0.6112 0.1250 0.9862  2 Mo 2.41, 2 Nb 2.50
6 Zn 0.8750 0.8612 0.4862  2 Mo 2.41, 2 Nb 2.50
7 Mo 0.2500 0.7500 0.5000  4 Zn 2.41
8 Mo 0.5000 0.5000 0.0000  4 Zn 2.41